Record 1
VASP calculation (PBE) on a relaxed TaGe3Te crystal.

Summary:
- Calculated volume: 26.41 A^3/atom
- Raw total energy: -26.20 eV for the cell shown
- Crystal system: cubic
- SG: Pm-3m, No. 221

abc: 5.0920 5.0920 5.0920
angles: 90.00 90.00 90.00
With the nearest neighbours (Å) after each atom.
Element x y z (fractional)
1 Ta 0.0000 0.0000 0.0000  6 Ge 2.55
2 Ge 0.0000 0.0000 0.5000  2 Ta 2.55
3 Ge 0.0000 0.5000 0.0000  2 Ta 2.55
4 Ge 0.5000 0.0000 0.0000  2 Ta 2.55
5 Te 0.5000 0.5000 0.5000  12 Ge 3.60

Record 2
VASP calculation (PBE) on a relaxed TaGeTe crystal.

Summary:
- Calculated volume: 21.76 A^3/atom
- Raw total energy: -39.60 eV for the cell shown
- Crystal system: triclinic
- SG: P-1, No. 2

abc: 3.4424 6.0271 6.7868
angles: 83.65 75.38 73.56
With the nearest neighbours (Å) after each atom.
Element x y z (fractional)
1 Ta 0.1228 0.2316 0.0192  3 Ge 2.63-2.81, 2 Te 2.83
2 Ta 0.8772 0.7684 0.9808  3 Ge 2.63-2.81, 2 Te 2.83
3 Ge 0.4145 0.9840 0.6931  1 Ge 2.54, 3 Ta 2.63-2.81
4 Ge 0.5855 0.0160 0.3069  1 Ge 2.54, 3 Ta 2.63-2.81
5 Te 0.3542 0.5321 0.2620  4 Ta 2.83-2.96, 1 Ge 2.99
6 Te 0.6458 0.4679 0.7380  4 Ta 2.83-2.96, 1 Ge 2.99

Theoretical density, record by record: 6.622 9.696 Mg/m³